The following is a PBE-GGA calculation of crystalline MgInBr2 at its relaxed geometry, from the Alexandria database.

```
MgInBr2
1.0
-9.341 -1.670 5.841
-7.686 -4.998 6.334
-6.805 -2.118 8.566
Mg Br In
1 2 1
direct
0.500 0.500 0.500 Mg
0.881 0.881 0.881 Br
0.119 0.119 0.119 Br
0.000 0.000 0.000 In
```

- Energy above the lowest structure with this stoichiometry: 0 meV/atom
- Calculated volume: 33.26 Å³/atom
- Space group: R-3m (166)
- Raw formation energy: -0.91 eV per atom


The following is a PBE-GGA calculation of crystalline MgInBr2 at its relaxed geometry, from the Alexandria database.

```
MgInBr2
1.0
-1.994 0.609 -2.729
-2.759 0.111 2.041
1.332 9.985 1.256
Br In Mg
2 1 1
direct
0.000 0.000 0.911 Br
0.000 0.000 0.589 Br
0.500 0.500 0.250 In
0.500 0.500 0.750 Mg
```

- Energy above the lowest structure with this stoichiometry: 290 meV/atom
- Calculated volume: 29.93 Å³/atom
- Space group: P4/mmm (123)
- Raw formation energy: -0.62 eV per atom


The following is a PBE-GGA calculation of crystalline MgInBr at its relaxed geometry, from the Alexandria database.

```
MgInBr
1.0
-2.977 -3.518 -2.158
3.615 -1.400 3.297
-2.392 0.330 2.763
Br In Mg
1 1 1
direct
0.000 0.000 0.834 Br
0.333 0.667 0.333 In
0.667 0.333 0.833 Mg
```

- Energy above the lowest structure with this stoichiometry: 252 meV/atom
- Calculated volume: 27.44 Å³/atom
- Space group: P3m1 (156)
- Raw formation energy: -0.28 eV per atom


The following is a PBE-GGA calculation of crystalline MgIn2Br at its relaxed geometry, from the Alexandria database.

```
MgIn2Br
1.0
5.392 0.000 0.000
2.696 4.670 0.000
2.696 1.557 4.403
Br In Mg
1 2 1
direct
0.500 0.500 0.500 Br
0.000 0.000 0.000 In
0.250 0.250 0.250 In
0.750 0.750 0.750 Mg
```

- Energy above the lowest structure with this stoichiometry: 291 meV/atom
- Calculated volume: 27.72 Å³/atom
- Space group: F-43m (216)
- Raw formation energy: -0.05 eV per atom